[1]
The following is a GGA-PBE calculation of an optimized crystal structure of RbHCl5, from Alexandria via LeMat-Bulk.

The volume comes out at 42.57 A^3/atom. The total energy comes out at -29.9 eV per cell.

The space group is C2 (No. 5) and the conventional cell measures 7.774, 15.523 and 5.366 Å, with angles of 90.00, 113.03 and 90.00 degrees. Symmetry generates all atoms from Rb at (0.000, 0.000, 0.000), H at (0.000, 0.749, 0.500), Cl at (0.000, 0.470, 0.500), Cl at (0.066, 0.220, 0.374) and Cl at (0.249, 0.468, 0.368).

=====

[2]
The following is a GGA-PBE calculation of an optimized crystal structure of Rb8HCl6, from Alexandria via LeMat-Bulk.

The volume comes out at 42.79 A^3/atom. The total energy comes out at -43.5 eV per cell.

The space group is P-3 (No. 147) and the conventional cell measures 12.2218, 12.2218 and 4.9620 Å, with angles of 90.00, 90.00 and 120.00 degrees. Symmetry generates all atoms from Rb at (0.0371, 0.7022, 0.2396), Rb at (0.3333, 0.6667, 0.7533), H at (0.0000, 0.0000, 0.0000) and Cl at (0.1322, 0.4745, 0.2577).

=====

[3]
The following is a GGA-PBE calculation of an optimized crystal structure of Rb4HCl3, from Alexandria via LeMat-Bulk.

The volume comes out at 35.62 A^3/atom. The total energy comes out at -49.4 eV per cell.

The space group is Cmmm (No. 65) and the conventional cell measures 9.321, 13.156 and 4.647 Å, with angles of 90.00, 90.00 and 90.00 degrees. Symmetry generates all atoms from Rb at (0.000, 0.243, 0.000), Rb at (0.239, 0.000, 0.500), H at (0.000, 0.000, 0.000), Cl at (0.000, 0.500, 0.000) and Cl at (0.250, 0.250, 0.500).

=====

[4]
The following is a GGA-PBE calculation of an optimized crystal structure of RbH3Cl6, from Alexandria via LeMat-Bulk.

The volume comes out at 33.30 A^3/atom. The total energy comes out at -81.9 eV per cell.

The space group is R3m (No. 160, hexagonal axes) and the conventional cell measures 13.4482, 13.4482 and 6.3790 Å, with angles of 90.00, 90.00 and 120.00 degrees. Symmetry generates all atoms from Rb at (0.0000, 0.0000, 0.0000), H at (0.1887, 0.3774, 0.9722), Cl at (0.0381, 0.5190, 0.4983) and Cl at (0.1416, 0.0708, 0.5070).

=====

[5]
The following is a GGA-PBE calculation of an optimized crystal structure of RbH2Cl2, from Alexandria via LeMat-Bulk.

The energy relative to the lowest polymorph listed for this composition comes out at 0 meV per atom. The volume comes out at 34.60 A^3/atom.

The space group is C2/c (No. 15) and the conventional cell measures 9.108, 5.256 and 14.722 Å, with angles of 90.00, 100.92 and 90.00 degrees. Symmetry generates all atoms from Rb at (0.000, 0.196, 0.250), H at (0.239, 0.262, 0.969) and Cl at (0.197, 0.303, 0.850).

=====

[6]
The following is a GGA-PBE calculation of an optimized crystal structure of Rb3HCl, from Alexandria via LeMat-Bulk.

The energy relative to the lowest polymorph listed for this composition comes out at 0 meV per atom. The volume comes out at 40.81 A^3/atom.

The space group is Pm-3m (No. 221) and the conventional cell measures 5.887, 5.887 and 5.887 Å, with angles of 90.00, 90.00 and 90.00 degrees. Symmetry generates all atoms from Rb at (0.000, 0.000, 0.500), H at (0.000, 0.000, 0.000) and Cl at (0.500, 0.500, 0.500).

=====

> Look up the volume of the fifth one.

34.60 A^3/atom